1.
This record from the Open Quantum Materials Database describes an optimized crystal structure of Hf2Mo3Os2. The functional is PBE.

Output
V: 370.8 Å³ per cell
Energy of formation: 178 meV/atom
Density: 13775 kg/m³

Lattice parameters (Å, degrees): 4.4450 4.4450 21.6696 90.00 90.00 120.00
Space group R3m (No. 160, hexagonal axes)
Unique sites:
1 Hf 0.0000 0.0000 0.0000 x3
2 Hf 0.0000 0.0000 0.4859 x3
3 Mo 0.0000 0.0000 0.3666 x3
4 Mo 0.0000 0.0000 0.6138 x3
5 Mo 0.0000 0.0000 0.8661 x3
6 Os 0.0000 0.0000 0.2439 x3
7 Os 0.0000 0.0000 0.7476 x3

---

2.
This record from the Open Quantum Materials Database describes an optimized crystal structure of HfMoP. The functional is PBE.

Output
V: 95.5 Å³ per cell
Energy above the most stable polymorph in this dataset: 686 meV/atom
Density: 10623 kg/m³

Lattice parameters (Å, degrees): 4.4078 4.4078 5.6744 90.00 90.00 120.00
Space group P6_3/mmc (No. 194)
Unique sites:
1 Hf 0.0000 0.0000 0.0000 x2
2 Mo 0.3333 0.6667 0.2500 x2
3 P 0.3333 0.6667 0.7500 x2